1.
! Sm3SiC (GGA-PBE, optimized geometry); values from VASP
! Space group   Pnma, No. 62
&SYSTEM
  ibrav = 0, nat = 20, ntyp = 3
/
ATOMIC_SPECIES
Sm 150.36 Sm.upf
Si 28.09 Si.upf
C 12.01 C.upf
CELL_PARAMETERS angstrom
3.947 0.000 0.000
0.000 8.166 0.000
0.000 0.000 14.230
ATOMIC_POSITIONS crystal
Sm 0.750 0.197 0.291
Sm 0.250 0.664 0.992
Sm 0.250 0.022 0.103
Sm 0.250 0.522 0.397
Sm 0.250 0.164 0.508
Sm 0.750 0.478 0.603
Sm 0.250 0.303 0.791
Sm 0.750 0.978 0.897
Sm 0.750 0.336 0.008
Sm 0.750 0.697 0.209
Sm 0.750 0.836 0.492
Sm 0.250 0.803 0.709
Si 0.250 0.911 0.327
Si 0.750 0.089 0.673
Si 0.750 0.589 0.827
Si 0.250 0.411 0.173
C 0.250 0.662 0.560
C 0.750 0.338 0.440
C 0.750 0.838 0.060
C 0.250 0.162 0.940



2.
! Sm8Si2C (GGA-PBE, optimized geometry); values from VASP
! Space group   C2/m, No. 12
&SYSTEM
  ibrav = 0, nat = 11, ntyp = 3
/
ATOMIC_SPECIES
Sm 150.36 Sm.upf
Si 28.09 Si.upf
C 12.01 C.upf
CELL_PARAMETERS angstrom
4.027 0.000 0.000
0.000 8.678 1.188
-2.014 -1.705 8.575
ATOMIC_POSITIONS crystal
Sm 0.404 0.439 0.809
Sm 0.647 0.006 0.294
Sm 0.785 0.652 0.569
Sm 0.007 0.189 0.014
Sm 0.215 0.348 0.431
Sm 0.353 0.994 0.706
Sm 0.596 0.561 0.191
Sm 0.993 0.811 0.986
Si 0.826 0.234 0.651
Si 0.174 0.766 0.349
C 0.500 0.000 0.000



3.
! Sm4SiC (GGA-PBE, optimized geometry); values from VASP
! Space group   Cmcm, No. 63
&SYSTEM
  ibrav = 0, nat = 12, ntyp = 3
/
ATOMIC_SPECIES
Sm 150.36 Sm.upf
Si 28.09 Si.upf
C 12.01 C.upf
CELL_PARAMETERS angstrom
5.919 -0.722 0.000
-3.872 6.321 0.000
0.000 0.000 9.570
ATOMIC_POSITIONS crystal
Sm 0.585 0.707 0.750
Sm 0.415 0.293 0.250
Sm 0.414 0.121 0.750
Sm 0.586 0.879 0.250
Sm 0.000 0.736 0.042
Sm 0.000 0.264 0.542
Sm 0.000 0.736 0.458
Sm 0.000 0.264 0.958
Si 0.000 0.581 0.750
Si 0.000 0.419 0.250
C 0.000 0.092 0.750
C 0.000 0.908 0.250



4.
! Sm2Ta2Si2C (GGA-PBE, optimized geometry); values from VASP
! Space group   I4/mmm, No. 139
&SYSTEM
  ibrav = 0, nat = 7, ntyp = 4
/
ATOMIC_SPECIES
Sm 150.36 Sm.upf
Ta 180.95 Ta.upf
Si 28.09 Si.upf
C 12.01 C.upf
CELL_PARAMETERS angstrom
-0.058 2.322 3.560
2.249 -3.005 1.997
5.415 3.789 -4.922
ATOMIC_POSITIONS crystal
Sm 0.168 0.168 0.337
Sm 0.832 0.832 0.663
Ta 0.000 0.500 0.000
Ta 0.500 0.000 0.000
Si 0.379 0.379 0.759
Si 0.621 0.621 0.241
C 0.000 0.000 0.000



5.
! SmSi2Tc2C (GGA-PBE, optimized geometry); values from VASP
! Space group   P4/mmm, No. 123
&SYSTEM
  ibrav = 0, nat = 6, ntyp = 4
/
ATOMIC_SPECIES
Sm 150.36 Sm.upf
Si 28.09 Si.upf
Tc 98.00 Tc.upf
C 12.01 C.upf
CELL_PARAMETERS angstrom
4.154 0.000 0.000
0.000 4.154 0.000
0.000 0.000 5.307
ATOMIC_POSITIONS crystal
Sm 0.000 0.000 0.500
Si 0.500 0.500 0.723
Si 0.500 0.500 0.277
Tc 0.500 0.000 0.000
Tc 0.000 0.500 0.000
C 0.000 0.000 0.000



6.
! Sm2SiTcC (GGA-PBE, optimized geometry); values from VASP
! Space group   P2_1/m, No. 11
&SYSTEM
  ibrav = 0, nat = 10, ntyp = 4
/
ATOMIC_SPECIES
Sm 150.36 Sm.upf
Si 28.09 Si.upf
Tc 98.00 Tc.upf
C 12.01 C.upf
CELL_PARAMETERS angstrom
-2.300 3.307 1.033
-3.396 -3.584 3.910
6.762 3.383 4.231
ATOMIC_POSITIONS crystal
Sm 0.750 0.787 0.619
Sm 0.750 0.771 0.023
Sm 0.250 0.213 0.381
Sm 0.250 0.229 0.977
Si 0.250 0.697 0.299
Si 0.750 0.303 0.701
Tc 0.250 0.496 0.743
Tc 0.750 0.504 0.257
C 0.250 0.811 0.828
C 0.750 0.189 0.172



Number 1: DFT total energy -6.16 eV/atom. Number 2: DFT total energy -5.50 eV/atom. Number 3: DFT total energy -5.79 eV/atom. Number 4: DFT total energy -8.18 eV/atom. Number 5: DFT total energy -8.09 eV/atom. Number 6: DFT total energy -7.20 eV/atom.